No. 1
Crystalline ZrGeCl3 at its relaxed geometry. Source: Alexandria via LeMat-Bulk, functional PBE-GGA.

## Properties
Total DFT energy (no corrections) = -21.539 eV for the cell shown
Uncorrected formation energy = -0.57 eV per atom
Total magnetization = 0.383 μB per atom
Distance to the lowest polymorph of the same formula = 0 meV per atom
Calculated volume = 26.4 A^3/atom

Lattice parameters (Å, degrees): 5.0888 5.0888 5.0888 90.00 90.00 90.00
Positions (direct):
Ge 0.5000 0.5000 0.5000
Zr 0.0000 0.0000 0.0000
Cl 0.0000 0.5000 0.0000
Cl 0.0000 0.0000 0.5000
Cl 0.5000 0.0000 0.0000



No. 2
Crystalline Ce3Th5Se8 at its relaxed geometry. Source: Alexandria via LeMat-Bulk, functional PBE-GGA.

## Properties
Total DFT energy (no corrections) = -109.186 eV for the cell shown
Uncorrected formation energy = -1.65 eV per atom
Total magnetization = 0.178 μB per atom
Calculated volume = 26.2 A^3/atom

Lattice parameters (Å, degrees): 8.3725 8.3725 8.4300 60.23 60.23 60.00
Positions (direct):
Ce 0.5000 0.0000 0.5000
Ce 0.0000 0.0000 0.5000
Ce 0.0000 0.5000 0.5000
Th 0.5000 0.0000 0.0000
Th 0.5000 0.5000 0.0000
Th 0.0000 0.0000 0.0000
Th 0.0000 0.5000 0.0000
Th 0.5000 0.5000 0.5000
Se 0.2500 0.2500 0.7477
Se 0.2500 0.7523 0.7477
Se 0.7523 0.2500 0.7477
Se 0.7510 0.7510 0.7469
Se 0.7500 0.7500 0.2523
Se 0.7500 0.2477 0.2523
Se 0.2477 0.7500 0.2523
Se 0.2490 0.2490 0.2531



No. 3
Crystalline SiAgSCl2 at its relaxed geometry. Source: Alexandria via LeMat-Bulk, functional PBE-GGA.

## Properties
Total DFT energy (no corrections) = -13.943 eV for the cell shown
Uncorrected formation energy = 0.43 eV per atom
Total magnetization = 0.000 μB per atom
Distance to the lowest polymorph of the same formula = 544 meV per atom
Calculated volume = 23.9 A^3/atom

Lattice parameters (Å, degrees): 4.8691 4.8691 5.0398 90.00 90.00 90.00
Positions (direct):
S 0.0000 0.0000 0.5000
Si 0.5000 0.5000 0.5000
Ag 0.0000 0.0000 0.0000
Cl 0.0000 0.5000 0.0000
Cl 0.5000 0.0000 0.0000



No. 4
Crystalline NaZr at its relaxed geometry. Source: Alexandria via LeMat-Bulk, functional PBE-GGA.

## Properties
Total DFT energy (no corrections) = -69.224 eV for the cell shown
Total magnetization = 0.000 μB per atom
Distance to the lowest polymorph of the same formula = 424 meV per atom
Calculated volume = 25.7 A^3/atom

Lattice parameters (Å, degrees): 6.4217 9.8833 6.4865 90.00 90.00 90.00
Positions (direct):
Na 0.4862 0.7273 0.0612
Na 0.9862 0.7727 0.9388
Na 0.5138 0.2273 0.4388
Na 0.0138 0.2727 0.5612
Na 0.1985 0.5083 0.8095
Na 0.6985 0.9917 0.1905
Na 0.8015 0.0083 0.6905
Na 0.3015 0.4917 0.3095
Zr 0.5631 0.2851 0.9408
Zr 0.0631 0.2149 0.0592
Zr 0.4369 0.7851 0.5592
Zr 0.9369 0.7149 0.4408
Zr 0.3033 0.0325 0.8239
Zr 0.8033 0.4675 0.1761
Zr 0.6967 0.5325 0.6761
Zr 0.1967 0.9675 0.3239



No. 5
Crystalline CsMoPS2 at its relaxed geometry. Source: Alexandria via LeMat-Bulk, functional PBE-GGA.

## Properties
Total DFT energy (no corrections) = -26.746 eV for the cell shown
Uncorrected formation energy = -0.28 eV per atom
Total magnetization = 0.000 μB per atom
Distance to the lowest polymorph of the same formula = 0 meV per atom
Calculated volume = 23.0 A^3/atom

Lattice parameters (Å, degrees): 4.9009 4.9009 4.7968 90.00 90.00 90.00
Positions (direct):
Cs 0.5000 0.5000 0.5000
P 0.0000 0.0000 0.5000
Mo 0.0000 0.0000 0.0000
S 0.0000 0.5000 0.0000
S 0.5000 0.0000 0.0000



Question: The lowest calculated volume belongs to which entry?
Answer: CsMoPS2